1.
Material: NpTiSnPd
Method: DFT, PBE
State: optimized geometry

Output
The value obtained for the formation energy is 94 meV/atom.

Cell lengths 6.931, 6.931, 6.931 Å; angles 90.00, 90.00, 90.00 degrees
Space group F-43m (No. 216)
Asymmetric unit:
Np (0.000, 0.000, 0.000) (multiplicity 4)
Ti (0.250, 0.250, 0.250) (multiplicity 4)
Sn (0.250, 0.250, 0.750) (multiplicity 4)
Pd (0.000, 0.000, 0.500) (multiplicity 4)

2.
Material: SrNpPd4
Method: DFT, PBE
State: optimized geometry

Output
The value obtained for the formation energy is -360 meV/atom.

Cell lengths 7.814, 7.814, 7.814 Å; angles 90.00, 90.00, 90.00 degrees
Space group F-43m (No. 216)
Asymmetric unit:
Sr (0.000, 0.000, 0.000) (multiplicity 4)
Np (0.250, 0.250, 0.250) (multiplicity 4)
Pd (0.125, 0.125, 0.625) (multiplicity 16)

3.
Material: Sr2Np2Pd15
Method: DFT, PBE
State: optimized geometry

Output
The value obtained for the formation energy is -354 meV/atom.

Cell lengths 9.3337, 9.3337, 14.0464 Å; angles 90.00, 90.00, 120.00 degrees
Space group R-3m (No. 166, hexagonal axes)
Asymmetric unit:
Sr (0.0000, 0.0000, 0.1465) (multiplicity 6)
Np (0.0000, 0.0000, 0.4177) (multiplicity 6)
Pd (0.0000, 0.3063, 0.5000) (multiplicity 18)
Pd (0.0000, 0.5000, 0.0000) (multiplicity 9)
Pd (0.0044, 0.5022, 0.3432) (multiplicity 18)

4.
Material: NpTaPd14
Method: DFT, PBE
State: optimized geometry

Output
The value obtained for the formation energy is -268 meV/atom.

Cell lengths 5.737, 5.737, 7.806 Å; angles 90.00, 90.00, 90.00 degrees
Space group P4/mmm (No. 123)
Asymmetric unit:
Np (0.000, 0.000, 0.000) (multiplicity 1)
Ta (0.500, 0.500, 0.000) (multiplicity 1)
Pd (0.000, 0.000, 0.500) (multiplicity 1)
Pd (0.000, 0.500, 0.000) (multiplicity 2)
Pd (0.000, 0.500, 0.500) (multiplicity 2)
Pd (0.255, 0.255, 0.247) (multiplicity 8)
Pd (0.500, 0.500, 0.500) (multiplicity 1)

5.
Material: TbNpPd14
Method: DFT, PBE
State: optimized geometry

Output
The value obtained for the formation energy is -334 meV/atom.

Cell lengths 5.804, 5.804, 7.844 Å; angles 90.00, 90.00, 90.00 degrees
Space group P4/mmm (No. 123)
Asymmetric unit:
Tb (0.000, 0.000, 0.000) (multiplicity 1)
Np (0.500, 0.500, 0.000) (multiplicity 1)
Pd (0.000, 0.000, 0.500) (multiplicity 1)
Pd (0.000, 0.500, 0.000) (multiplicity 2)
Pd (0.000, 0.500, 0.500) (multiplicity 2)
Pd (0.253, 0.253, 0.255) (multiplicity 8)
Pd (0.500, 0.500, 0.500) (multiplicity 1)

6.
Material: Tb2NpPd9
Method: DFT, PBE
State: optimized geometry

Output
The value obtained for the formation energy is -743 meV/atom.

Cell lengths 4.128, 4.128, 12.403 Å; angles 90.00, 90.00, 90.00 degrees
Space group P4/mmm (No. 123)
Asymmetric unit:
Tb (0.000, 0.000, 0.164) (multiplicity 2)
Np (0.000, 0.000, 0.500) (multiplicity 1)
Pd (0.000, 0.500, 0.000) (multiplicity 2)
Pd (0.000, 0.500, 0.338) (multiplicity 4)
Pd (0.500, 0.500, 0.168) (multiplicity 2)
Pd (0.500, 0.500, 0.500) (multiplicity 1)